Entry from Alexandria: crystalline AgBi at its relaxed geometry (GGA-PBE).

Computed properties:
Uncorrected energy (eV/f.u.): -6.38
Formation energy from the elements (eV per formula unit): 0.353

Lattice parameters (Å, degrees): 3.589 4.807 6.056 90.00 90.00 90.00
Space group Immm (No. 71)
Inequivalent atoms, fractional coordinates:
Ag (0.000, 0.000, 0.000) [2 per cell]
Bi (0.000, 0.000, 0.500) [2 per cell]

---

Entry from Alexandria: crystalline AgBi at its relaxed geometry (GGA-PBE).

Computed properties:
Uncorrected energy (eV/f.u.): -5.80
Formation energy from the elements (eV per formula unit): 0.936

Lattice parameters (Å, degrees): 6.470 6.470 6.470 90.00 90.00 90.00
Space group F-43m (No. 216)
Inequivalent atoms, fractional coordinates:
Ag (0.000, 0.000, 0.000) [4 per cell]
Bi (0.250, 0.250, 0.750) [4 per cell]

---

Entry from Alexandria: crystalline AgBi at its relaxed geometry (GGA-PBE).

Computed properties:
Uncorrected energy (eV/f.u.): -6.55
Formation energy from the elements (eV per formula unit): 0.185

Lattice parameters (Å, degrees): 11.083 11.083 3.390 90.00 90.00 90.00
Space group I4/m (No. 87)
Inequivalent atoms, fractional coordinates:
Ag (0.086, 0.621, 0.000) [8 per cell]
Bi (0.117, 0.181, 0.000) [8 per cell]

---

Entry from Alexandria: crystalline AgBi at its relaxed geometry (GGA-PBE).

Computed properties:
Uncorrected energy (eV/f.u.): -5.71
Formation energy from the elements (eV per formula unit): 1.020

Lattice parameters (Å, degrees): 8.943 8.943 8.943 90.00 90.00 90.00
Space group I-43m (No. 217)
Inequivalent atoms, fractional coordinates:
Ag (0.182, 0.182, 0.182) [8 per cell]
Bi (0.139, 0.139, 0.861) [8 per cell]

---

Entry from Alexandria: crystalline Ag5Bi at its relaxed geometry (GGA-PBE).

Computed properties:
Uncorrected energy (eV/f.u.): -17.59
Formation energy from the elements (eV per formula unit): 0.551

Lattice parameters (Å, degrees): 8.266 4.768 6.173 90.00 90.08 90.00
Space group C2/m (No. 12)
Inequivalent atoms, fractional coordinates:
Ag (0.000, 0.000, 0.000) [2 per cell]
Ag (0.167, 0.500, 0.299) [4 per cell]
Ag (0.167, 0.500, 0.838) [4 per cell]
Bi (0.000, 0.000, 0.500) [2 per cell]

---

Entry from Alexandria: crystalline AgBi at its relaxed geometry (GGA-PBE).

Computed properties:
Uncorrected energy (eV/f.u.): -5.73
Formation energy from the elements (eV per formula unit): 1.006

Lattice parameters (Å, degrees): 7.952 7.952 7.952 90.00 90.00 90.00
Space group Pm-3n (No. 223)
Inequivalent atoms, fractional coordinates:
Ag (0.000, 0.250, 0.500) [6 per cell]
Bi (0.000, 0.500, 0.250) [6 per cell]